Record 1
This record from the Alexandria database describes HoTm2C3 after structural relaxation. The functional is PBE.

Cell and atoms, written as extended XYZ:
```
12
Lattice="4.937 0.000 2.609 1.778 6.078 2.613 -0.450 0.332 6.828" Properties=species:S:1:pos:R:3 pbc="T T T"
Ho 4.640 4.657 9.148
C 4.990 3.205 7.006
C 3.080 0.000 1.628
Tm 0.193 0.840 5.611
Tm 3.247 4.651 5.808
C 1.857 0.000 0.982
C -0.225 0.166 3.414
C 1.275 3.205 5.043
Ho 1.625 1.753 2.902
Tm 3.018 1.759 6.242
C 2.244 0.166 4.719
Tm 6.072 5.571 6.438
```

ΔE_f: -0.09 eV per atom
Crystal system: orthorhombic

***

Record 2
This record from the Alexandria database describes HoTm2C after structural relaxation. The functional is PBE.

Cell and atoms, written as extended XYZ:
```
4
Lattice="-1.640 -2.752 -1.379 0.636 -0.936 -3.299 6.682 -6.893 1.401" Properties=species:S:1:pos:R:3 pbc="T T T"
Tm 1.531 -5.734 -3.609
Ho 0.000 0.000 0.000
Tm 4.148 -4.847 0.332
C 2.839 -5.291 -1.639
```

ΔE_f: -0.11 eV per atom
Crystal system: trigonal

***

Record 3
This record from the Alexandria database describes Ho3Tm2C3 after structural relaxation. The functional is PBE.

Cell and atoms, written as extended XYZ:
```
16
Lattice="4.913 0.000 0.000 -2.457 5.815 -0.014 0.000 0.090 11.763" Properties=species:S:1:pos:R:3 pbc="T T T"
Tm 2.457 2.090 10.944
C 0.000 1.921 11.101
Tm 0.000 3.833 0.825
Tm 2.457 5.220 7.245
Ho 0.000 0.620 1.385
C 2.457 4.005 5.222
C 0.000 2.456 2.936
Ho 0.000 0.611 4.482
Ho 2.457 5.298 10.354
Ho 2.457 1.985 6.735
C 2.457 3.438 8.823
C 2.457 4.001 0.652
C 0.000 1.808 6.530
Tm 0.000 3.825 5.051
Ho 0.000 3.018 8.820
Ho 2.457 2.877 2.936
```

ΔE_f: -0.20 eV per atom
Crystal system: monoclinic

***

Record 4
This record from the Alexandria database describes HoTmC after structural relaxation. The functional is PBE.

Cell and atoms, written as extended XYZ:
```
3
Lattice="-1.387 1.375 2.463 -2.590 0.466 -1.719 -0.124 -6.193 1.381" Properties=species:S:1:pos:R:3 pbc="T T T"
C -1.405 -3.506 1.166
Ho -3.886 -3.813 1.947
Tm -2.913 -1.384 1.139
```

ΔE_f: 0.24 eV per atom
Relative energy among the computed polymorphs: 561 meV/atom
Crystal system: tetragonal

***

Record 5
This record from the Alexandria database describes HoTmC after structural relaxation. The functional is PBE.

Cell and atoms, written as extended XYZ:
```
6
Lattice="-1.986 0.952 2.796 -5.023 0.001 -3.567 0.889 -6.295 0.510" Properties=species:S:1:pos:R:3 pbc="T T T"
C -2.511 0.000 -1.784
C -0.993 0.476 1.398
Tm -1.728 -4.074 2.425
Tm -4.391 -1.269 -2.686
Ho -2.874 -0.818 0.503
Ho -3.245 -4.525 -0.764
```

ΔE_f: -0.32 eV per atom
Relative energy among the computed polymorphs: 0 meV/atom
Crystal system: monoclinic

***

Record 6
This record from the Alexandria database describes Ho12TmC7 after structural relaxation. The functional is PBE.

Cell and atoms, written as extended XYZ:
```
20
Lattice="-1.120 7.671 2.212 -3.000 -0.871 -7.432 -4.346 -4.640 4.957" Properties=species:S:1:pos:R:3 pbc="T T T"
Ho -5.245 3.320 -0.030
Ho -3.083 -1.057 -3.926
C -0.918 2.416 0.127
Ho -5.011 3.791 -3.644
Ho -5.871 0.639 -1.913
C -1.785 -0.789 1.700
C -4.233 1.080 -0.131
C -6.682 2.950 -1.963
C -6.862 2.689 1.698
Ho -6.746 -2.635 -0.551
Ho -3.456 -1.631 3.381
Ho -2.596 1.521 1.650
Tm 0.000 0.000 0.000
C -1.604 -0.528 -1.961
Ho -5.384 3.217 3.664
Ho -2.436 1.744 -1.673
Ho -3.221 -1.159 -0.233
Ho -6.031 0.416 1.411
Ho -1.721 4.795 0.289
C -7.549 -0.256 -0.390
```

ΔE_f: -0.27 eV per atom
Crystal system: trigonal

***

What did the sixth record say?
This record from the Alexandria database describes Ho12TmC7 after structural relaxation. The functional is PBE.

Cell and atoms, written as extended XYZ:
```
20
Lattice="-1.120 7.671 2.212 -3.000 -0.871 -7.432 -4.346 -4.640 4.957" Properties=species:S:1:pos:R:3 pbc="T T T"
Ho -5.245 3.320 -0.030
Ho -3.083 -1.057 -3.926
C -0.918 2.416 0.127
Ho -5.011 3.791 -3.644
Ho -5.871 0.639 -1.913
C -1.785 -0.789 1.700
C -4.233 1.080 -0.131
C -6.682 2.950 -1.963
C -6.862 2.689 1.698
Ho -6.746 -2.635 -0.551
Ho -3.456 -1.631 3.381
Ho -2.596 1.521 1.650
Tm 0.000 0.000 0.000
C -1.604 -0.528 -1.961
Ho -5.384 3.217 3.664
Ho -2.436 1.744 -1.673
Ho -3.221 -1.159 -0.233
Ho -6.031 0.416 1.411
Ho -1.721 4.795 0.289
C -7.549 -0.256 -0.390
```

ΔE_f: -0.27 eV per atom
Crystal system: trigonal